# 1
Compound: SmDySiGe
Source: the Alexandria database
Functional: GGA-PBE
Structure: optimized geometry

```
SmDySiGe
1.0
-1.3516 2.1312 3.5404
2.6471 -1.9369 2.1766
4.2882 2.8036 -2.7202
Sm Dy Si Ge
1 1 1 1
direct
0.1403 0.0000 0.2807
0.8620 0.5000 0.7241
0.4193 0.0000 0.8385
0.5783 0.5000 0.1567
```

Magnetic moment in μB per formula unit: 0.0
Formation energy from raw total energies in eV/atom: -0.83
Density in g cm⁻³: 7.5

***

# 2
Compound: Dy15Ho2Er2
Source: the Alexandria database
Functional: GGA-PBE
Structure: optimized geometry

```
Dy15Ho2Er2
1.0
8.3403 -0.5496 2.2809
1.5963 8.2046 2.2809
-0.7133 -0.5496 8.6171
Dy Ho Er
15 2 2
direct
0.0000 0.5000 0.0000
0.0000 0.0000 0.5000
0.5000 0.0000 0.0000
0.2983 0.0000 0.7017
0.7017 0.2983 0.0000
0.0000 0.7017 0.2983
0.2983 0.7017 0.0000
0.0000 0.2983 0.7017
0.7017 0.0000 0.2983
0.3728 0.8504 0.3728
0.3728 0.3728 0.8504
0.8504 0.3728 0.3728
0.6272 0.1496 0.6272
0.6272 0.6272 0.1496
0.1496 0.6272 0.6272
0.6794 0.6794 0.6794
0.3206 0.3206 0.3206
0.9046 0.9046 0.9046
0.0954 0.0954 0.0954
```

Magnetic moment in μB per formula unit: 0.0
Formation energy from the elements in eV/atom: 0.29
Density in g cm⁻³: 8.3

***

# 3
Compound: Ti5HgRu4
Source: the Alexandria database
Functional: GGA-PBE
Structure: optimized geometry

```
Ti5HgRu4
1.0
3.0788 0.0000 0.0000
0.0000 3.0788 0.0000
0.0000 0.0000 16.3395
Ti Hg Ru
5 1 4
direct
0.5000 0.5000 0.1233
0.5000 0.5000 0.3110
0.5000 0.5000 0.5000
0.5000 0.5000 0.6890
0.5000 0.5000 0.8767
0.0000 0.0000 0.0000
0.0000 0.0000 0.2162
0.0000 0.0000 0.4059
0.0000 0.0000 0.5941
0.0000 0.0000 0.7838
```

Magnetic moment in μB per formula unit: 0.0
Formation energy from the elements in eV/atom: -0.59
Density in g cm⁻³: 9.1

***

# 4
Compound: La2Si2Tc
Source: the Alexandria database
Functional: GGA-PBE
Structure: optimized geometry

```
La2Si2Tc
1.0
-0.3848 2.6277 2.3010
2.2106 -1.6090 2.2072
7.9815 4.9249 -1.6064
Si Tc La
2 1 2
direct
0.7500 0.2500 0.5000
0.2500 0.7500 0.5000
0.0000 0.0000 0.0000
0.4028 0.4028 0.1943
0.5972 0.5972 0.8057
```

Magnetic moment in μB per formula unit: 0.0
Formation energy from raw total energies in eV/atom: 0.01
Energy above the lowest structure with this stoichiometry in meV/atom: 635
Density in g cm⁻³: 6.3

***

# 5
Compound: DyAl4Au2
Source: the Alexandria database
Functional: GGA-PBE
Structure: optimized geometry

```
DyAl4Au2
1.0
-3.2598 2.6941 -0.9616
-4.4480 -5.2583 0.3470
-2.3812 3.1247 16.8277
Au Al Dy
8 16 4
direct
0.2500 0.7518 0.5363
0.7500 0.2482 0.4637
0.7500 0.2518 0.9637
0.2500 0.7482 0.0363
0.2500 0.9669 0.7830
0.7500 0.0331 0.2170
0.7500 0.4669 0.7170
0.2500 0.5331 0.2830
0.2500 0.2692 0.6891
0.7500 0.7308 0.3109
0.7500 0.7692 0.8109
0.2500 0.2308 0.1891
0.2500 0.6728 0.6844
0.7500 0.3272 0.3156
0.7500 0.1728 0.8156
0.2500 0.8272 0.1844
0.2500 0.1430 0.5353
0.7500 0.8570 0.4647
0.7500 0.6430 0.9647
0.2500 0.3570 0.0353
0.2500 0.4754 0.4331
0.7500 0.5246 0.5669
0.7500 0.9754 0.0669
0.2500 0.0246 0.9331
0.7500 0.9862 0.6409
0.2500 0.0138 0.3591
0.2500 0.4862 0.8591
0.7500 0.5138 0.1409
```

Magnetic moment in μB per formula unit: 0.0
Formation energy from the elements in eV/atom: -0.58
Energy above the lowest structure with this stoichiometry in meV/atom: 0
Density in g cm⁻³: 8.5

***

# 6
Compound: CrReRu2
Source: the Alexandria database
Functional: GGA-PBE
Structure: optimized geometry

```
CrReRu2
1.0
4.2925 0.0000 0.0000
2.1462 3.7174 0.0000
2.1462 1.2391 3.5048
Cr Re Ru
1 1 2
direct
0.5000 0.5000 0.5000
0.7500 0.7500 0.7500
0.0000 0.0000 0.0000
0.2500 0.2500 0.2500
```

Magnetic moment in μB per formula unit: 1.9
Formation energy from the elements in eV/atom: 0.37
Energy above the lowest structure with this stoichiometry in meV/atom: 303
Density in g cm⁻³: 13.1

***

# 7
Compound: SiSb2Te
Source: the Alexandria database
Functional: GGA-PBE
Structure: optimized geometry

```
SiSb2Te
1.0
-0.4221 -5.2785 -3.3793
-0.3623 -5.6375 2.7473
-2.6685 5.6755 0.3586
Sb Si Te
2 1 1
direct
0.0000 0.0000 0.0000
0.5000 0.5000 0.0000
0.2500 0.7500 0.5000
0.7500 0.2500 0.5000
```

Magnetic moment in μB per formula unit: 0.0
Formation energy from raw total energies in eV/atom: 0.48
Energy above the lowest structure with this stoichiometry in meV/atom: 399
Density in g cm⁻³: 6.4

***

# 8
Compound: LiDy6Ga2
Source: the Alexandria database
Functional: GGA-PBE
Structure: optimized geometry

```
LiDy6Ga2
1.0
4.8993 0.0000 -0.1849
0.0000 7.1415 0.0000
-2.1665 -3.5708 7.5717
Li Dy Ga
1 6 2
direct
0.0000 0.0000 0.0000
0.1682 0.4203 0.3368
0.8318 0.0834 0.6632
0.8318 0.5797 0.6632
0.5000 0.2586 0.0000
0.1682 0.9166 0.3368
0.5000 0.7414 0.0000
0.6670 0.6672 0.3344
0.3330 0.3328 0.6656
```

Magnetic moment in μB per formula unit: 0.0
Formation energy from the elements in eV/atom: 0.01
Density in g cm⁻³: 7.1